(1)
Here is an optimized crystal structure of ZnHOs2Cl from the Alexandria database. Energies are from PBE-GGA.

Cell lengths 4.8777, 4.8777, 2.9720 Å; angles 90.00, 90.00, 90.00 degrees
Last column: nearest neighbours and their distance in Å.
Sites, in units of the cell vectors:
1 Zn 0.0000 0.0000 0.0000  2 H 1.49
2 H 0.0000 0.0000 0.5000  2 Zn 1.49
3 Os 0.0000 0.5000 0.0000  2 Zn 2.44
4 Os 0.5000 0.0000 0.0000  2 Zn 2.44
5 Cl 0.5000 0.5000 0.5000  8 Os 2.86, 2 Cl 2.97

Calculated values
DOS(E_F)	5.8	states/eV per cell
total DFT energy (no corrections)	-4.001	eV per atom
SG	P4/mmm



(2)
Here is an optimized crystal structure of ScMnCl2 from the Alexandria database. Energies are from PBE-GGA.

Cell lengths 3.3675, 4.8843, 13.0300 Å; angles 90.00, 90.00, 90.00 degrees
Last column: nearest neighbours and their distance in Å.
Sites, in units of the cell vectors:
1 Sc 0.0000 0.0000 0.0000  4 Cl 2.53
2 Sc 0.5000 0.5000 0.5000  4 Cl 2.53
3 Mn 0.0000 0.0000 0.5000  4 Sc 2.97, 4 Cl 3.08
4 Mn 0.5000 0.5000 0.0000  4 Sc 2.97, 4 Cl 3.08
5 Cl 0.0000 0.5000 0.3556  2 Sc 2.53
6 Cl 0.0000 0.5000 0.6444  2 Sc 2.53
7 Cl 0.5000 0.0000 0.1444  2 Sc 2.53
8 Cl 0.5000 0.0000 0.8556  2 Sc 2.53

Calculated values
formation energy from raw total energies	-0.76	eV per atom
DOS(E_F)	6.5	states/eV per cell
energy above the lowest structure with this stoichiometry	154	meV per atom
SG	Immm



(3)
Here is an optimized crystal structure of Nd3As5Rh6 from the Alexandria database. Energies are from PBE-GGA.

Cell lengths 4.0564, 12.7518, 10.0038 Å; angles 90.00, 90.00, 90.00 degrees
Last column: nearest neighbours and their distance in Å.
Sites, in units of the cell vectors:
1 Nd 0.2500 0.0894 0.2473  6 As 3.06-3.10, 7 Rh 3.15-3.32
2 Nd 0.2500 0.4106 0.2473  6 As 3.06-3.10, 7 Rh 3.15-3.32
3 Nd 0.2500 0.7500 0.2614  6 As 3.08-3.17, 6 Rh 3.20-3.30
4 Nd 0.7500 0.2500 0.7386  6 As 3.08-3.17, 6 Rh 3.20-3.30
5 Nd 0.7500 0.5894 0.7527  6 As 3.06-3.10, 7 Rh 3.15-3.32
6 Nd 0.7500 0.9106 0.7527  6 As 3.06-3.10, 7 Rh 3.15-3.32
7 As 0.2500 0.0786 0.8463  5 Rh 2.49-2.62
8 As 0.2500 0.4214 0.8463  5 Rh 2.49-2.62
9 As 0.2500 0.6302 0.5289  5 Rh 2.46-2.58
10 As 0.2500 0.7500 0.8668  4 Rh 2.51-2.57
11 As 0.2500 0.8698 0.5289  5 Rh 2.46-2.58
12 As 0.7500 0.1302 0.4711  5 Rh 2.46-2.58
13 As 0.7500 0.2500 0.1332  4 Rh 2.51-2.57
14 As 0.7500 0.3698 0.4711  5 Rh 2.46-2.58
15 As 0.7500 0.5786 0.1537  5 Rh 2.49-2.62
16 As 0.7500 0.9214 0.1537  5 Rh 2.49-2.62
17 Rh 0.2500 0.0549 0.5976  4 As 2.46-2.58, 1 Rh 2.72
18 Rh 0.2500 0.2500 0.4879  4 As 2.54, 2 Rh 2.72
19 Rh 0.2500 0.2500 0.9861  4 As 2.51-2.60
20 Rh 0.2500 0.4451 0.5976  4 As 2.46-2.58, 1 Rh 2.72
21 Rh 0.2500 0.5823 0.0098  4 As 2.49-2.62
22 Rh 0.2500 0.9177 0.0098  4 As 2.49-2.62
23 Rh 0.7500 0.0823 0.9902  4 As 2.49-2.62
24 Rh 0.7500 0.4177 0.9902  4 As 2.49-2.62
25 Rh 0.7500 0.5549 0.4024  4 As 2.46-2.58, 1 Rh 2.72
26 Rh 0.7500 0.7500 0.0139  4 As 2.51-2.60
27 Rh 0.7500 0.7500 0.5121  4 As 2.54, 2 Rh 2.72
28 Rh 0.7500 0.9451 0.4024  4 As 2.46-2.58, 1 Rh 2.72

Calculated values
calculated formation energy	-0.937	eV per atom
DOS(E_F)	16.3	states/eV per cell
SG	Pmmn



(4)
Here is an optimized crystal structure of CaSmCdCu from the Alexandria database. Energies are from PBE-GGA.

Cell lengths 7.3839, 7.3839, 7.3839 Å; angles 90.00, 90.00, 90.00 degrees
Last column: nearest neighbours and their distance in Å.
Sites, in units of the cell vectors:
1 Ca 0.0000 0.0000 0.0000  4 Cd 3.20, 4 Cu 3.20
2 Ca 0.0000 0.5000 0.5000  4 Cu 3.20, 4 Cd 3.20
3 Ca 0.5000 0.0000 0.5000  4 Cu 3.20, 4 Cd 3.20
4 Ca 0.5000 0.5000 0.0000  4 Cd 3.20, 4 Cu 3.20
5 Sm 0.0000 0.0000 0.5000  4 Cd 3.20, 4 Cu 3.20
6 Sm 0.0000 0.5000 0.0000  4 Cd 3.20, 4 Cu 3.20
7 Sm 0.5000 0.0000 0.0000  4 Cd 3.20, 4 Cu 3.20
8 Sm 0.5000 0.5000 0.5000  4 Cd 3.20, 4 Cu 3.20
9 Cd 0.2500 0.2500 0.7500  4 Ca 3.20, 4 Sm 3.20
10 Cd 0.2500 0.7500 0.2500  4 Ca 3.20, 4 Sm 3.20
11 Cd 0.7500 0.2500 0.2500  4 Ca 3.20, 4 Sm 3.20
12 Cd 0.7500 0.7500 0.7500  4 Sm 3.20, 4 Ca 3.20
13 Cu 0.2500 0.2500 0.2500  4 Ca 3.20, 4 Sm 3.20
14 Cu 0.2500 0.7500 0.7500  4 Ca 3.20, 4 Sm 3.20
15 Cu 0.7500 0.2500 0.7500  4 Ca 3.20, 4 Sm 3.20
16 Cu 0.7500 0.7500 0.2500  4 Ca 3.20, 4 Sm 3.20

Calculated values
calculated formation energy	-0.190	eV per atom
DOS(E_F)	13.6	states/eV per cell
SG	F-43m



(5)
Here is an optimized crystal structure of KNa14Cd from the Alexandria database. Energies are from PBE-GGA.

Cell lengths 12.1250, 7.5111, 7.5111 Å; angles 59.40, 90.00, 90.00 degrees
Last column: nearest neighbours and their distance in Å.
Sites, in units of the cell vectors:
1 K 0.0000 0.0000 0.0000  10 Na 3.72-3.83, 2 Cd 3.73
2 Na 0.0000 0.0047 0.4934  2 Cd 3.59-3.92, 8 Na 3.64-3.87, 2 K 3.72-3.79
3 Na 0.0000 0.4934 0.0047  2 Cd 3.59-3.92, 8 Na 3.64-3.87, 2 K 3.72-3.79
4 Na 0.2318 0.6487 0.6487  1 Cd 3.52, 11 Na 3.64-3.92
5 Na 0.2498 0.1653 0.6449  10 Na 3.57-3.87, 1 Cd 3.67, 1 K 3.80
6 Na 0.2498 0.6449 0.1653  10 Na 3.57-3.87, 1 Cd 3.67, 1 K 3.80
7 Na 0.2650 0.1599 0.1599  11 Na 3.55-3.87, 1 K 3.83
8 Na 0.5000 0.3225 0.3225  12 Na 3.55-3.82
9 Na 0.5000 0.3233 0.8135  12 Na 3.63-3.87
10 Na 0.5000 0.8135 0.3233  12 Na 3.63-3.87
11 Na 0.5000 0.8162 0.8162  12 Na 3.71-3.92
12 Na 0.7350 0.1599 0.1599  11 Na 3.55-3.87, 1 K 3.83
13 Na 0.7502 0.1653 0.6449  10 Na 3.57-3.87, 1 Cd 3.67, 1 K 3.80
14 Na 0.7502 0.6449 0.1653  10 Na 3.57-3.87, 1 Cd 3.67, 1 K 3.80
15 Na 0.7682 0.6487 0.6487  1 Cd 3.52, 11 Na 3.64-3.92
16 Cd 0.0000 0.4862 0.4862  10 Na 3.52-3.92, 2 K 3.73

Calculated values
calculated formation energy	0.011	eV per atom
DOS(E_F)	7.1	states/eV per cell
SG	Amm2



(6)
Here is an optimized crystal structure of KTl14Sb from the Alexandria database. Energies are from PBE-GGA.

Cell lengths 11.2475, 7.1361, 7.1361 Å; angles 60.59, 90.00, 90.00 degrees
Last column: nearest neighbours and their distance in Å.
Sites, in units of the cell vectors:
1 K 0.0000 0.0000 0.0000  10 Tl 3.56-3.63, 2 Sb 3.60
2 Tl 0.0000 0.5134 0.9765  7 Tl 3.33-3.54, 1 Sb 3.38, 2 K 3.56-3.58
3 Tl 0.0000 0.9765 0.5134  7 Tl 3.33-3.54, 1 Sb 3.38, 2 K 3.56-3.58
4 Tl 0.2309 0.3265 0.3265  11 Tl 3.39-3.68, 1 Sb 3.42
5 Tl 0.2564 0.3366 0.8188  10 Tl 3.39-3.73, 1 Sb 3.48, 1 K 3.56
6 Tl 0.2564 0.8188 0.3366  10 Tl 3.39-3.73, 1 Sb 3.48, 1 K 3.56
7 Tl 0.2613 0.8271 0.8271  11 Tl 3.40-3.62, 1 K 3.63
8 Tl 0.5000 0.1570 0.1570  12 Tl 3.46-3.68
9 Tl 0.5000 0.1617 0.6440  12 Tl 3.40-3.73
10 Tl 0.5000 0.6440 0.1617  12 Tl 3.40-3.73
11 Tl 0.5000 0.6576 0.6576  12 Tl 3.39-3.60
12 Tl 0.7387 0.8271 0.8271  11 Tl 3.40-3.62, 1 K 3.63
13 Tl 0.7436 0.3366 0.8188  10 Tl 3.39-3.73, 1 Sb 3.48, 1 K 3.56
14 Tl 0.7436 0.8188 0.3366  10 Tl 3.39-3.73, 1 Sb 3.48, 1 K 3.56
15 Tl 0.7691 0.3265 0.3265  11 Tl 3.39-3.68, 1 Sb 3.42
16 Sb 0.0000 0.5068 0.5068  10 Tl 3.38-3.76, 2 K 3.60

Calculated values
formation energy from raw total energies	-0.02	eV per atom
DOS(E_F)	7.9	states/eV per cell
SG	Amm2



(7)
Here is an optimized crystal structure of GaIN2O from the Alexandria database. Energies are from PBE-GGA.

Cell lengths 4.1383, 4.1383, 4.4330 Å; angles 90.00, 90.00, 90.00 degrees
Last column: nearest neighbours and their distance in Å.
Sites, in units of the cell vectors:
1 Ga 0.0000 0.0000 0.0000  4 I 2.93, 8 N 3.03
2 I 0.5000 0.5000 0.0000  2 O 2.22
3 N 0.0000 0.5000 0.5000  2 O 2.07
4 N 0.5000 0.0000 0.5000  2 O 2.07
5 O 0.5000 0.5000 0.5000  4 N 2.07, 2 I 2.22

Calculated values
formation energy from raw total energies	2.09	eV per atom
DOS(E_F)	3.2	states/eV per cell
SG	P4/mmm



(8)
Here is an optimized crystal structure of NaSi2BrCl from the Alexandria database. Energies are from PBE-GGA.

Cell lengths 5.3558, 5.3558, 4.8609 Å; angles 90.00, 90.00, 90.00 degrees
Last column: nearest neighbours and their distance in Å.
Sites, in units of the cell vectors:
1 Na 0.0000 0.0000 0.0000  2 Cl 2.43, 4 Si 2.68
2 Si 0.0000 0.5000 0.0000  2 Na 2.68
3 Si 0.5000 0.0000 0.0000  2 Na 2.68
4 Br 0.5000 0.5000 0.5000  8 Si 3.62, 4 Cl 3.79
5 Cl 0.0000 0.0000 0.5000  2 Na 2.43

Calculated values
formation energy from raw total energies	0.75	eV per atom
DOS(E_F)	3.4	states/eV per cell
SG	P4/mmm



(9)
Here is an optimized crystal structure of Na3Tl2Cd from the Alexandria database. Energies are from PBE-GGA.

Cell lengths 3.6411, 3.6411, 12.4899 Å; angles 90.00, 90.00, 90.00 degrees
Last column: nearest neighbours and their distance in Å.
Sites, in units of the cell vectors:
1 Na 0.0000 0.0000 0.0000  8 Tl 3.35, 4 Na 3.64
2 Na 0.0000 0.0000 0.3394  4 Cd 3.26, 4 Tl 3.32, 4 Na 3.64
3 Na 0.0000 0.0000 0.6606  4 Cd 3.26, 4 Tl 3.32, 4 Na 3.64
4 Tl 0.5000 0.5000 0.1712  8 Na 3.32-3.35, 4 Tl 3.64
5 Tl 0.5000 0.5000 0.8288  8 Na 3.32-3.35, 4 Tl 3.64
6 Cd 0.5000 0.5000 0.5000  8 Na 3.26, 4 Cd 3.64

Calculated values
calculated formation energy	-0.085	eV per atom
DOS(E_F)	2.2	states/eV per cell
energy above the lowest structure with this stoichiometry	3	meV per atom
SG	P4/mmm



(10)
Here is an optimized crystal structure of In2CoMo from the Alexandria database. Energies are from PBE-GGA.

Cell lengths 6.5333, 6.5333, 6.5333 Å; angles 90.00, 90.00, 90.00 degrees
Last column: nearest neighbours and their distance in Å.
Sites, in units of the cell vectors:
1 In 0.0000 0.0000 0.0000  4 Co 2.83, 4 In 2.83
2 In 0.0000 0.5000 0.5000  4 Co 2.83, 4 In 2.83
3 In 0.2500 0.2500 0.2500  4 In 2.83, 4 Mo 2.83
4 In 0.2500 0.7500 0.7500  4 In 2.83, 4 Mo 2.83
5 In 0.5000 0.0000 0.5000  4 Co 2.83, 4 In 2.83
6 In 0.5000 0.5000 0.0000  4 Co 2.83, 4 In 2.83
7 In 0.7500 0.2500 0.7500  4 In 2.83, 4 Mo 2.83
8 In 0.7500 0.7500 0.2500  4 In 2.83, 4 Mo 2.83
9 Co 0.2500 0.2500 0.7500  4 In 2.83, 4 Mo 2.83
10 Co 0.2500 0.7500 0.2500  4 In 2.83, 4 Mo 2.83
11 Co 0.7500 0.2500 0.2500  4 In 2.83, 4 Mo 2.83
12 Co 0.7500 0.7500 0.7500  4 In 2.83, 4 Mo 2.83
13 Mo 0.0000 0.0000 0.5000  4 In 2.83, 4 Co 2.83
14 Mo 0.0000 0.5000 0.0000  4 In 2.83, 4 Co 2.83
15 Mo 0.5000 0.0000 0.0000  4 In 2.83, 4 Co 2.83
16 Mo 0.5000 0.5000 0.5000  4 In 2.83, 4 Co 2.83

Calculated values
calculated formation energy	0.570	eV per atom
DOS(E_F)	8.3	states/eV per cell
energy above the lowest structure with this stoichiometry	353	meV per atom
SG	F-43m



(11)
Here is an optimized crystal structure of BaIn2Sn4 from the Alexandria database. Energies are from PBE-GGA.

Cell lengths 5.7239, 13.9016, 5.5514 Å; angles 90.00, 90.00, 90.00 degrees
Last column: nearest neighbours and their distance in Å.
Sites, in units of the cell vectors:
1 Ba 0.0000 0.0000 0.0000  10 Sn 3.69-4.12
2 Ba 0.5000 0.5000 0.0000  10 Sn 3.69-4.12
3 In 0.0000 0.3963 0.5000  1 In 2.88, 5 Sn 3.03-3.16
4 In 0.0000 0.6037 0.5000  1 In 2.88, 5 Sn 3.03-3.16
5 In 0.5000 0.1037 0.5000  1 In 2.88, 5 Sn 3.03-3.16
6 In 0.5000 0.8963 0.5000  1 In 2.88, 5 Sn 3.03-3.16
7 Sn 0.0000 0.1754 0.5000  3 In 3.03-3.07, 2 Sn 3.18
8 Sn 0.0000 0.2872 0.0000  4 Sn 3.04-3.18, 2 In 3.16
9 Sn 0.0000 0.7128 0.0000  4 Sn 3.04-3.18, 2 In 3.16
10 Sn 0.0000 0.8246 0.5000  3 In 3.03-3.07, 2 Sn 3.18
11 Sn 0.5000 0.2128 0.0000  4 Sn 3.04-3.18, 2 In 3.16
12 Sn 0.5000 0.3246 0.5000  3 In 3.03-3.07, 2 Sn 3.18
13 Sn 0.5000 0.6754 0.5000  3 In 3.03-3.07, 2 Sn 3.18
14 Sn 0.5000 0.7872 0.0000  4 Sn 3.04-3.18, 2 In 3.16

Calculated values
calculated formation energy	-0.197	eV per atom
DOS(E_F)	6.8	states/eV per cell
SG	Cmmm



(12)
Here is an optimized crystal structure of TlZn2Cl6 from the Alexandria database. Energies are from PBE-GGA.

Cell lengths 8.9561, 8.9561, 6.9526 Å; angles 101.80, 101.80, 85.17 degrees
Last column: nearest neighbours and their distance in Å.
Sites, in units of the cell vectors:
1 Tl 0.1367 0.8633 0.7500  6 Cl 2.77-3.10
2 Tl 0.8633 0.1367 0.2500  6 Cl 2.77-3.10
3 Zn 0.2217 0.3744 0.7369  4 Cl 2.28-2.31
4 Zn 0.3744 0.2217 0.2369  4 Cl 2.28-2.31
5 Zn 0.6256 0.7783 0.7631  4 Cl 2.28-2.31
6 Zn 0.7783 0.6256 0.2631  4 Cl 2.28-2.31
7 Cl 0.0497 0.1835 0.6459  1 Zn 2.30
8 Cl 0.1150 0.5969 0.8859  1 Zn 2.28
9 Cl 0.1835 0.0497 0.1459  1 Zn 2.30
10 Cl 0.2971 0.4277 0.4605  2 Zn 2.31
11 Cl 0.4031 0.8850 0.6141  1 Zn 2.28
12 Cl 0.4277 0.2971 0.9605  2 Zn 2.31
13 Cl 0.5723 0.7029 0.0395  2 Zn 2.31
14 Cl 0.5969 0.1150 0.3859  1 Zn 2.28
15 Cl 0.7029 0.5723 0.5395  2 Zn 2.31
16 Cl 0.8165 0.9503 0.8541  1 Zn 2.30
17 Cl 0.8850 0.4031 0.1141  1 Zn 2.28
18 Cl 0.9503 0.8165 0.3541  1 Zn 2.30

Calculated values
formation energy from raw total energies	-0.97	eV per atom
DOS(E_F)	7.4	states/eV per cell
SG	C2/c



Asked for mass density across the records above, the calculation gives 11.33; 2.65; 9.14; 6.05; 1.34; 10.06; 5.26; 2.32; 5.92; 9.16; 6.33; 3.41 Mg/m³ in order.